Entry 1:
DFT (PBE-GGA) results for crystalline Ce2NbAg at its relaxed geometry.

For the calculated total energy, the calculation gives -6.10 eV per atom. The magnetization comes out at 0.0 μB/f.u. The energy relative to the lowest polymorph listed for this composition comes out at 0.0 meV per atom.

It has space group P4/mmm (No. 123), with a = 2.997 Å, b = 2.997 Å, c = 10.020 Å, α = 90.00°, β = 90.00° and γ = 90.00°. The asymmetric unit holds Ce at (0.000, 0.000, 0.249), Nb at (0.500, 0.500, 0.000) and Ag at (0.500, 0.500, 0.500).

---

Entry 2:
DFT (PBE-GGA) results for crystalline CeNb2Ag2S6 at its relaxed geometry.

For the calculated total energy, the calculation gives -6.05 eV per atom. The uncorrected formation energy is -0.910 eV/atom. The magnetization comes out at 1.1 μB/f.u.

It has space group C2/m (No. 12), with a = 6.612 Å, b = 10.859 Å, c = 6.796 Å, α = 90.00°, β = 91.17° and γ = 90.00°. The asymmetric unit holds Ce at (0.000, 0.000, 0.000), Nb at (0.000, 0.365, 0.000), Ag at (0.000, 0.131, 0.500), S at (0.151, 0.500, 0.759) and S at (0.193, 0.187, 0.797).

---

Entry 3:
DFT (PBE-GGA) results for crystalline Ce2NdAg6 at its relaxed geometry.

For the calculated total energy, the calculation gives -3.94 eV per atom. The magnetization comes out at 3.0 μB/f.u.

It has space group P6/mmm (No. 191), with a = 8.5325 Å, b = 8.5325 Å, c = 3.2725 Å, α = 90.00°, β = 90.00° and γ = 120.00°. The asymmetric unit holds Ce at (0.3333, 0.6667, 0.0000), Nd at (0.0000, 0.0000, 0.0000) and Ag at (0.0000, 0.3335, 0.5000).

---

Entry 4:
DFT (PBE-GGA) results for crystalline CeNd2Ag at its relaxed geometry.

For the calculated total energy, the calculation gives -4.65 eV per atom. The magnetization comes out at 0.4 μB/f.u. The energy relative to the lowest polymorph listed for this composition comes out at 0.0 meV per atom.

It has space group P4/mmm (No. 123), with a = 3.695 Å, b = 3.695 Å, c = 8.478 Å, α = 90.00°, β = 90.00° and γ = 90.00°. The asymmetric unit holds Ce at (0.000, 0.000, 0.000), Nd at (0.500, 0.500, 0.275) and Ag at (0.000, 0.000, 0.500).

---

Entry 5:
DFT (PBE-GGA) results for crystalline CeNd2Ag at its relaxed geometry.

For the calculated total energy, the calculation gives -4.45 eV per atom. The magnetization comes out at 2.4 μB/f.u. The energy relative to the lowest polymorph listed for this composition comes out at 198.9 meV per atom.

It has space group Fm-3m (No. 225), with a = 7.634 Å, b = 7.634 Å, c = 7.634 Å, α = 90.00°, β = 90.00° and γ = 90.00°. The asymmetric unit holds Ce at (0.000, 0.000, 0.000), Nd at (0.250, 0.250, 0.250) and Ag at (0.000, 0.000, 0.500).

---

Entry 6:
DFT (PBE-GGA) results for crystalline CeNd2Ag at its relaxed geometry.

For the calculated total energy, the calculation gives -4.58 eV per atom. The magnetization comes out at 0.4 μB/f.u. The energy relative to the lowest polymorph listed for this composition comes out at 71.7 meV per atom.

It has space group P4/mmm (No. 123), with a = 5.624 Å, b = 5.624 Å, c = 3.538 Å, α = 90.00°, β = 90.00° and γ = 90.00°. The asymmetric unit holds Ce at (0.000, 0.000, 0.000), Nd at (0.000, 0.500, 0.500) and Ag at (0.500, 0.500, 0.000).

---

Entry 7:
DFT (PBE-GGA) results for crystalline CeNd2Ag at its relaxed geometry.

For the calculated total energy, the calculation gives -4.52 eV per atom. The magnetization comes out at 1.2 μB/f.u. The energy relative to the lowest polymorph listed for this composition comes out at 134.4 meV per atom.

It has space group R3m (No. 160, hexagonal axes), with a = 3.5797 Å, b = 3.5797 Å, c = 32.6049 Å, α = 90.00°, β = 90.00° and γ = 120.00°. The asymmetric unit holds Ce at (0.0000, 0.0000, 0.0000), Nd at (0.0000, 0.0000, 0.5761), Nd at (0.0000, 0.0000, 0.7586) and Ag at (0.0000, 0.0000, 0.1676).

---

Entry 8:
DFT (PBE-GGA) results for crystalline CeNd2Ag at its relaxed geometry.

For the calculated total energy, the calculation gives -4.39 eV per atom. The magnetization comes out at 0.4 μB/f.u. The energy relative to the lowest polymorph listed for this composition comes out at 263.5 meV per atom.

It has space group R-3m (No. 166, hexagonal axes), with a = 3.3689 Å, b = 3.3689 Å, c = 35.3994 Å, α = 90.00°, β = 90.00° and γ = 120.00°. The asymmetric unit holds Ce at (0.0000, 0.0000, 0.0000), Nd at (0.0000, 0.0000, 0.0939) and Ag at (0.0000, 0.0000, 0.5000).

---

Entry 9:
DFT (PBE-GGA) results for crystalline CeNdAg at its relaxed geometry.

For the calculated total energy, the calculation gives -4.60 eV per atom. The magnetization comes out at 1.0 μB/f.u. The energy relative to the lowest polymorph listed for this composition comes out at 0.0 meV per atom.

It has space group Cmcm (No. 63), with a = 3.530 Å, b = 17.067 Å, c = 5.470 Å, α = 90.00°, β = 90.00° and γ = 90.00°. The asymmetric unit holds Ce at (0.000, 0.237, 0.250), Nd at (0.000, 0.078, 0.750) and Ag at (0.000, 0.415, 0.750).

---

Entry 10:
DFT (PBE-GGA) results for crystalline CeNdAg2 at its relaxed geometry.

For the calculated total energy, the calculation gives -4.24 eV per atom. The magnetization comes out at 1.2 μB/f.u. The energy relative to the lowest polymorph listed for this composition comes out at 7.5 meV per atom.

It has space group Fm-3m (No. 225), with a = 7.488 Å, b = 7.488 Å, c = 7.488 Å, α = 90.00°, β = 90.00° and γ = 90.00°. The asymmetric unit holds Ce at (0.000, 0.000, 0.000), Nd at (0.000, 0.000, 0.500) and Ag at (0.250, 0.250, 0.250).

---

Entry 11:
DFT (PBE-GGA) results for crystalline CeNdAg2 at its relaxed geometry.

For the calculated total energy, the calculation gives -4.25 eV per atom. The magnetization comes out at 1.1 μB/f.u. The energy relative to the lowest polymorph listed for this composition comes out at 0.0 meV per atom.

It has space group P4/mmm (No. 123), with a = 3.677 Å, b = 3.677 Å, c = 7.751 Å, α = 90.00°, β = 90.00° and γ = 90.00°. The asymmetric unit holds Ce at (0.000, 0.000, 0.000), Nd at (0.000, 0.000, 0.500) and Ag at (0.500, 0.500, 0.253).

---

Entry 12:
DFT (PBE-GGA) results for crystalline CeNdAg at its relaxed geometry.

For the calculated total energy, the calculation gives -4.46 eV per atom. The magnetization comes out at 0.5 μB/f.u. The energy relative to the lowest polymorph listed for this composition comes out at 133.1 meV per atom.

It has space group P3m1 (No. 156), with a = 5.0969 Å, b = 5.0969 Å, c = 3.5279 Å, α = 90.00°, β = 90.00° and γ = 120.00°. The asymmetric unit holds Ce at (0.0000, 0.0000, 0.0000), Nd at (0.6667, 0.3333, 0.3553) and Ag at (0.3333, 0.6667, 0.6817).